[1]
LiFe2: optimized geometry, PBE.

Values from the calculation:
- E_tot (eV for the cell shown) = -16.17
- size of the total moment (μB/atom) = 1.751
- V (Å³/cell) = 39.2

a b c (Å): 3.812 3.812 3.812
angles (deg): 60.00 60.00 60.00
Sites, in units of the cell vectors:
1 Li 0.000 0.000 0.000
2 Fe 0.250 0.250 0.250
3 Fe 0.750 0.750 0.750


[2]
LiFe4: optimized geometry, PBE.

Values from the calculation:
- E_tot (eV for the cell shown) = -34.66
- size of the total moment (μB/atom) = 1.935
- V (Å³/cell) = 58.6

a b c (Å): 4.343 4.343 4.343
angles (deg): 101.54 101.54 126.86
Sites, in units of the cell vectors:
1 Li 0.000 0.000 0.000
2 Fe 0.200 0.400 0.600
3 Fe 0.400 0.800 0.201
4 Fe 0.600 0.200 0.799
5 Fe 0.800 0.600 0.400


[3]
LiFe3: optimized geometry, PBE.

Values from the calculation:
- E_tot (eV for the cell shown) = -26.59
- size of the total moment (μB/atom) = 1.728
- V (Å³/cell) = 46.6

a b c (Å): 2.421 4.110 4.741
angles (deg): 90.00 98.58 90.00
Sites, in units of the cell vectors:
1 Li 0.000 0.000 0.000
2 Fe 0.234 0.500 0.744
3 Fe 0.500 0.000 0.500
4 Fe 0.766 0.500 0.256


[4]
Li2Fe: optimized geometry, PBE.

Values from the calculation:
- E_tot (eV for the cell shown) = -21.64
- size of the total moment (μB/atom) = 0.781
- V (Å³/cell) = 78.3

a b c (Å): 4.801 4.801 4.801
angles (deg): 60.00 60.00 60.00
Sites, in units of the cell vectors:
1 Li 0.000 0.000 0.000
2 Li 0.000 0.000 0.500
3 Li 0.000 0.500 0.000
4 Li 0.500 0.000 0.000
5 Fe 0.375 0.375 0.375
6 Fe 0.625 0.625 0.625


[5]
Li5Fe4: optimized geometry, PBE.

Values from the calculation:
- E_tot (eV for the cell shown) = -79.98
- size of the total moment (μB/atom) = 1.107
- V (Å³/cell) = 250.8

a b c (Å): 7.572 7.572 5.051
angles (deg): 90.00 90.00 120.00
Sites, in units of the cell vectors:
1 Li 0.000 0.368 0.250
2 Li 0.000 0.632 0.750
3 Li 0.333 0.667 0.000
4 Li 0.333 0.667 0.500
5 Li 0.368 0.000 0.250
6 Li 0.368 0.368 0.750
7 Li 0.632 0.000 0.750
8 Li 0.632 0.632 0.250
9 Li 0.667 0.333 0.000
10 Li 0.667 0.333 0.500
11 Fe 0.000 0.000 0.000
12 Fe 0.000 0.000 0.500
13 Fe 0.000 0.270 0.750
14 Fe 0.000 0.730 0.250
15 Fe 0.270 0.000 0.750
16 Fe 0.270 0.270 0.250
17 Fe 0.730 0.000 0.250
18 Fe 0.730 0.730 0.750


[6]
LiFe2: optimized geometry, PBE.

Values from the calculation:
- E_tot (eV for the cell shown) = -34.75
- size of the total moment (μB/atom) = 1.423
- V (Å³/cell) = 79.2

a b c (Å): 7.488 7.488 7.488
angles (deg): 160.89 144.78 40.38
Sites, in units of the cell vectors:
1 Li 0.399 0.149 0.250
2 Li 0.601 0.851 0.750
3 Fe 0.066 0.316 0.750
4 Fe 0.228 0.478 0.750
5 Fe 0.772 0.522 0.250
6 Fe 0.934 0.684 0.250


[7]
Li7Fe6: optimized geometry, PBE.

Values from the calculation:
- E_tot (eV for the cell shown) = -57.96
- size of the total moment (μB/atom) = 0.519
- V (Å³/cell) = 150.4

a b c (Å): 9.110 9.110 9.110
angles (deg): 28.33 28.33 28.33
Sites, in units of the cell vectors:
1 Li 0.000 0.000 0.000
2 Li 0.091 0.091 0.581
3 Li 0.091 0.581 0.091
4 Li 0.419 0.909 0.909
5 Li 0.581 0.091 0.091
6 Li 0.909 0.419 0.909
7 Li 0.909 0.909 0.419
8 Fe 0.166 0.166 0.166
9 Fe 0.351 0.351 0.351
10 Fe 0.459 0.459 0.459
11 Fe 0.541 0.541 0.541
12 Fe 0.649 0.649 0.649
13 Fe 0.834 0.834 0.834


[8]
Li4Fe3: optimized geometry, PBE.

Values from the calculation:
- E_tot (eV for the cell shown) = -31.37
- size of the total moment (μB/atom) = 0.852
- V (Å³/cell) = 96.8

a b c (Å): 4.736 4.736 4.985
angles (deg): 90.00 90.00 120.00
Sites, in units of the cell vectors:
1 Li 0.000 0.000 0.247
2 Li 0.000 0.000 0.753
3 Li 0.333 0.667 0.500
4 Li 0.667 0.333 0.500
5 Fe 0.000 0.500 0.000
6 Fe 0.500 0.000 0.000
7 Fe 0.500 0.500 0.000


[9]
LiFe3: optimized geometry, PBE.

Values from the calculation:
- E_tot (eV for the cell shown) = -26.51
- size of the total moment (μB/atom) = 1.735
- V (Å³/cell) = 46.7

a b c (Å): 4.595 4.595 2.419
angles (deg): 90.00 90.00 113.85
Sites, in units of the cell vectors:
1 Li 0.000 0.000 0.000
2 Fe 0.000 0.500 0.500
3 Fe 0.500 0.000 0.500
4 Fe 0.500 0.500 0.000


[10]
LiFe2: optimized geometry, PBE.

Values from the calculation:
- E_tot (eV for the cell shown) = -35.49
- size of the total moment (μB/atom) = 1.637
- V (Å³/cell) = 76.5

a b c (Å): 13.197 13.197 13.197
angles (deg): 169.49 169.49 14.89
Sites, in units of the cell vectors:
1 Li 0.375 0.625 0.750
2 Li 0.625 0.375 0.250
3 Fe 0.041 0.791 0.250
4 Fe 0.209 0.959 0.250
5 Fe 0.791 0.041 0.750
6 Fe 0.959 0.209 0.750


[11]
Li2Fe: optimized geometry, PBE.

Values from the calculation:
- E_tot (eV for the cell shown) = -11.25
- size of the total moment (μB/atom) = 0.798
- V (Å³/cell) = 41.9

a b c (Å): 4.755 4.755 4.755
angles (deg): 150.65 126.66 62.05
Sites, in units of the cell vectors:
1 Li 0.164 0.164 0.000
2 Li 0.836 0.836 0.000
3 Fe 0.500 0.500 0.000


[12]
Li2Fe: optimized geometry, PBE.

Values from the calculation:
- E_tot (eV for the cell shown) = -38.49
- size of the total moment (μB/atom) = 0.906
- V (Å³/cell) = 218.5

a b c (Å): 6.023 6.023 6.023
angles (deg): 90.00 90.00 90.00
Sites, in units of the cell vectors:
1 Li 0.128 0.128 0.128
2 Li 0.128 0.372 0.628
3 Li 0.372 0.628 0.128
4 Li 0.372 0.872 0.628
5 Li 0.628 0.128 0.372
6 Li 0.628 0.372 0.872
7 Li 0.872 0.628 0.372
8 Li 0.872 0.872 0.872
9 Fe 0.000 0.000 0.500
10 Fe 0.000 0.500 0.000
11 Fe 0.500 0.000 0.000
12 Fe 0.500 0.500 0.500